Hg3Pb4 | SCAN | single point on PBEsol structure

Values from the calculation:
Formation energy: 0.041 eV/atom
E_tot: -72.477 eV/atom
DOS at the Fermi energy: 0.44 states/eV per atom
Magnetization: 0.000 μB/atom

a b c (Å): 3.679 3.679 27.497
angles (deg): 90.00 90.00 90.00
Space group I4/mmm (No. 139)
Asymmetric unit:
1 Hg 0.000 0.000 0.000
2 Hg 0.000 0.000 0.280
3 Pb 0.000 0.000 0.152
4 Pb 0.000 0.000 0.432



Hg3Pb | SCAN | single point on PBEsol structure

Values from the calculation:
Formation energy: 0.036 eV/atom
E_tot: -70.034 eV/atom
DOS at the Fermi energy: 0.39 states/eV per atom
Magnetization: 0.000 μB/atom

a b c (Å): 3.4001 3.4001 30.0046
angles (deg): 90.00 90.00 120.00
Space group R-3m (No. 166, hexagonal axes)
Asymmetric unit:
1 Hg 0.0000 0.0000 0.0000
2 Hg 0.0000 0.0000 0.2547
3 Pb 0.0000 0.0000 0.5000



What did the first record say?
Hg3Pb4 | SCAN | single point on PBEsol structure

Values from the calculation:
Formation energy: 0.041 eV/atom
E_tot: -72.477 eV/atom
DOS at the Fermi energy: 0.44 states/eV per atom
Magnetization: 0.000 μB/atom

a b c (Å): 3.679 3.679 27.497
angles (deg): 90.00 90.00 90.00
Space group I4/mmm (No. 139)
Asymmetric unit:
1 Hg 0.000 0.000 0.000
2 Hg 0.000 0.000 0.280
3 Pb 0.000 0.000 0.152
4 Pb 0.000 0.000 0.432